Entry 1:
The following is a PBE calculation of a geometry-optimized Nd3Ho3Te2Pd structure, from the Open Quantum Materials Database.

ρ	8391	kg/m3
symmetry	No. 189
energy relative to the lowest polymorph listed for this composition	116	meV per atom
calculated volume	28.35	A^3/atom
total moment	0.0	μB per formula unit

Unit cell a=8.649 b=8.649 c=3.939 alpha=90.00 beta=90.00 gamma=120.00
Positions (direct):
Nd 0.000 0.748 0.000
Nd 0.252 0.252 0.000
Nd 0.748 0.000 0.000
Ho 0.000 0.407 0.500
Ho 0.407 0.000 0.500
Ho 0.593 0.593 0.500
Te 0.333 0.667 0.000
Te 0.667 0.333 0.000
Pd 0.000 0.000 0.500



Entry 2:
The following is a PBE calculation of a geometry-optimized Nd4Ho2Te2Pd structure, from the Open Quantum Materials Database.

ρ	8142	kg/m3
symmetry	No. 38
calculated volume	28.75	A^3/atom
total moment	0.0	μB per formula unit
E_tot	-5.255	eV per atom

Unit cell a=4.046 b=8.616 c=8.616 alpha=120.53 beta=90.00 gamma=90.00
Positions (direct):
Nd 0.000 0.000 0.000
Nd 0.000 0.184 0.592
Nd 0.000 0.592 0.184
Nd 0.500 0.346 0.346
Ho 0.500 0.593 0.835
Ho 0.500 0.835 0.593
Te 0.500 0.260 0.922
Te 0.500 0.922 0.260
Pd 0.000 0.607 0.607



Entry 3:
The following is a PBE calculation of a geometry-optimized Nd3Ho3Te2Pd structure, from the Open Quantum Materials Database.

ρ	8417	kg/m3
symmetry	No. 189
energy relative to the lowest polymorph listed for this composition	0	meV per atom
calculated volume	28.26	A^3/atom
total moment	0.0	μB per formula unit

Unit cell a=8.519 b=8.519 c=4.046 alpha=90.00 beta=90.00 gamma=120.00
Positions (direct):
Nd 0.000 0.406 0.000
Nd 0.406 0.000 0.000
Nd 0.594 0.594 0.000
Ho 0.000 0.758 0.500
Ho 0.242 0.242 0.500
Ho 0.758 0.000 0.500
Te 0.333 0.667 0.500
Te 0.667 0.333 0.500
Pd 0.000 0.000 0.000



What is the formula in the first record?
Nd3Ho3Te2Pd



Number 1 is which compound?
Nd3Ho3Te2Pd